(1)
The following is a PBE calculation of SrCu2Br8 after structural relaxation, from the Alexandria database.

a b c (Å): 7.4403 7.4403 8.0562
angles (deg): 117.50 117.50 90.00
Closest atoms and distances in Å follow each position.
Atoms (fractional coordinates):
Br 0.2797 0.4439 0.2374  1 Cu 2.39
Br 0.5561 0.7203 0.7626  1 Cu 2.39
Br 0.9577 0.7935 0.2374  1 Cu 2.39
Br 0.4439 0.9577 0.2374  1 Cu 2.39
Br 0.7935 0.2797 0.2374  1 Cu 2.39
Br 0.2065 0.0423 0.7626  1 Cu 2.39
Br 0.0423 0.5561 0.7626  1 Cu 2.39
Br 0.7203 0.2065 0.7626  1 Cu 2.39
Cu 0.7500 0.2500 0.5000  4 Br 2.39
Cu 0.2500 0.7500 0.5000  4 Br 2.39
Sr 0.5000 0.5000 0.0000  8 Br 3.19

Properties
**VASP energy**: -2.74 eV per atom
**Uncorrected formation energy**: -0.6256 eV per atom
**SG**: I422


(2)
The following is a PBE calculation of SrCuBr2 after structural relaxation, from the Alexandria database.

a b c (Å): 5.0004 4.9933 4.0624
angles (deg): 90.00 90.00 90.00
Closest atoms and distances in Å follow each position.
Atoms (fractional coordinates):
Br 0.5000 0.5000 0.0000  4 Cu 3.22, 4 Sr 3.22, 4 Br 3.53
Br 0.0000 0.0000 0.0000  4 Sr 3.22, 4 Cu 3.22, 4 Br 3.53
Cu 0.5000 0.0000 0.5000  8 Br 3.22, 4 Sr 3.53
Sr 0.0000 0.5000 0.5000  8 Br 3.22, 4 Cu 3.53

Properties
**VASP energy**: -3.11 eV per atom
**Uncorrected formation energy**: -0.8286 eV per atom
**SG**: P4/mmm


(3)
The following is a PBE calculation of SrCuBr5 after structural relaxation, from the Alexandria database.

a b c (Å): 6.9694 6.9694 11.2463
angles (deg): 68.72 68.72 67.74
Closest atoms and distances in Å follow each position.
Atoms (fractional coordinates):
Br 0.3612 0.7367 0.4621  1 Cu 2.49
Br 0.2633 0.6388 0.0379  1 Cu 2.49
Br 0.2912 0.1623 0.8943  1 Cu 2.41
Br 0.0295 0.9705 0.7500  2 Cu 2.82, 1 Sr 3.00
Br 0.7088 0.8377 0.1057  1 Cu 2.41
Br 0.9705 0.0295 0.2500  2 Cu 2.82, 1 Sr 3.00
Br 0.1623 0.2912 0.3943  1 Cu 2.41
Br 0.8377 0.7088 0.6057  1 Cu 2.41
Br 0.7367 0.3612 0.9621  1 Cu 2.49
Br 0.6388 0.2633 0.5379  1 Cu 2.49
Cu 0.0000 0.0000 0.5000  4 Br 2.41-2.49
Cu 0.0000 0.0000 0.0000  4 Br 2.41-2.49
Sr 0.4163 0.5837 0.7500  5 Br 3.00-3.14
Sr 0.5837 0.4163 0.2500  5 Br 3.00-3.14

Properties
**VASP energy**: -2.90 eV per atom
**Uncorrected formation energy**: -0.8775 eV per atom
**SG**: C2/c


(4)
The following is a PBE calculation of SrCuBr after structural relaxation, from the Alexandria database.

a b c (Å): 4.4272 4.4272 6.0225
angles (deg): 90.00 90.00 120.00
Closest atoms and distances in Å follow each position.
Atoms (fractional coordinates):
Sr 0.3333 0.6667 0.6691  3 Br 3.10, 3 Cu 3.12
Br 0.0000 0.0000 0.9601  3 Sr 3.10
Cu 0.6667 0.3333 0.3709  3 Sr 3.12

Properties
**VASP energy**: -3.12 eV per atom
**Uncorrected formation energy**: -0.6397 eV per atom
**SG**: P3m1


(5)
The following is a PBE calculation of SrCu3Br after structural relaxation, from the Alexandria database.

a b c (Å): 5.6018 5.6018 5.6018
angles (deg): 90.00 90.00 90.00
Closest atoms and distances in Å follow each position.
Atoms (fractional coordinates):
Sr 0.0000 0.0000 0.0000  6 Cu 2.80
Br 0.5000 0.5000 0.5000  12 Cu 3.96
Cu 0.0000 0.5000 0.0000  2 Sr 2.80
Cu 0.0000 0.0000 0.5000  2 Sr 2.80
Cu 0.5000 0.0000 0.0000  2 Sr 2.80

Properties
**VASP energy**: -1.92 eV per atom
**Uncorrected formation energy**: 1.2112 eV per atom
**SG**: Pm-3m


(6)
The following is a PBE calculation of SrCuBr2 after structural relaxation, from the Alexandria database.

a b c (Å): 6.3871 6.3871 6.3871
angles (deg): 140.25 140.25 57.48
Closest atoms and distances in Å follow each position.
Atoms (fractional coordinates):
Cu 0.5000 0.5000 0.0000  4 Br 3.07
Br 0.2500 0.7500 0.5000  4 Sr 3.07
Br 0.0000 0.0000 0.0000  4 Cu 3.07
Sr 0.7500 0.2500 0.5000  4 Br 3.07

Properties
**VASP energy**: -3.08 eV per atom
**Uncorrected formation energy**: -0.8012 eV per atom
**SG**: I-4m2


(7)
The following is a PBE calculation of SrCuBr after structural relaxation, from the Alexandria database.

a b c (Å): 6.3013 6.2996 3.8522
angles (deg): 72.22 72.18 35.60
Closest atoms and distances in Å follow each position.
Atoms (fractional coordinates):
Sr 0.6689 0.6689 0.3311  4 Cu 3.21-3.22, 4 Br 3.25-3.26
Br 0.0118 0.0118 0.9882  4 Sr 3.25-3.26, 5 Cu 3.49-3.50
Cu 0.3193 0.3193 0.6807  4 Sr 3.21-3.22, 5 Br 3.49-3.50

Properties
**VASP energy**: -3.10 eV per atom
**Uncorrected formation energy**: -0.6182 eV per atom
**SG**: Fmm2


(8)
The following is a PBE calculation of SrCuBr2 after structural relaxation, from the Alexandria database.

a b c (Å): 3.8830 3.8830 7.8176
angles (deg): 90.00 90.00 89.68
Closest atoms and distances in Å follow each position.
Atoms (fractional coordinates):
Sr 0.5000 0.5000 0.7377  5 Br 2.94-3.18
Cu 0.0000 0.0000 0.4590  4 Br 2.84-2.86
Br 0.0000 0.0000 0.9414  4 Sr 3.17-3.18
Br 0.5000 0.5000 0.3619  4 Cu 2.84-2.86, 1 Sr 2.94

Properties
**VASP energy**: -3.08 eV per atom
**Uncorrected formation energy**: -0.7994 eV per atom
**SG**: Cmm2


Question: Which value of uncorrected formation energy does entry 7 give?
Answer: -0.6182 eV per atom